# MgIn3Cu8 (GGA-PBE, relaxed)
data_MgIn3Cu8
_cell_length_a 5.0615
_cell_length_b 5.0615
_cell_length_c 8.1120
_cell_angle_alpha 90.00
_cell_angle_beta 90.00
_cell_angle_gamma 120.00
_symmetry_space_group_name_H-M 'P 1'
_symmetry_Int_Tables_number 1
loop_
_symmetry_equiv_pos_as_xyz
'x,y,z'
loop_
_atom_site_label
_atom_site_fract_x
_atom_site_fract_y
_atom_site_fract_z
Cu1 0.1642 0.8358 0.2515
Cu2 0.5012 0.0024 0.7487
Cu3 0.6715 0.8358 0.2515
Cu4 0.9976 0.4988 0.7487
Cu5 0.3333 0.6667 0.0005
Cu6 0.3333 0.6667 0.4993
Cu7 0.5012 0.4988 0.7487
Cu8 0.1642 0.3285 0.2515
In1 0.6667 0.3333 0.4467
In2 0.0000 0.0000 0.9303
In3 0.6667 0.3333 0.0635
Mg1 0.0000 0.0000 0.5592
# Calculated formation energy: -57 meV/atom
# Total energy: -3.605 eV per atom
# DOS at the Fermi energy: 2.9 states/eV/f.u.
# Crystal system: trigonal
# Energy relative to the lowest polymorph listed for this composition: 0.0121 eV/atom